Record 1
# KAs4H3O12 | Alexandria via LeMat-Bulk | PBE | optimized geometry
# E_tot: -5.678 eV per atom
data_KAs4H3O12
_cell_length_a 5.2595
_cell_length_b 7.1311
_cell_length_c 7.8448
_cell_angle_alpha 116.73
_cell_angle_beta 95.63
_cell_angle_gamma 95.36
_symmetry_space_group_name_H-M 'P 1'
_symmetry_Int_Tables_number 1
loop_
_symmetry_equiv_pos_as_xyz
'x,y,z'
loop_
_atom_site_label
_atom_site_type_symbol
_atom_site_fract_x
_atom_site_fract_y
_atom_site_fract_z
K1 K 0.0000 0.0000 0.0000
As1 As 0.1464 0.3560 0.6956
As2 As 0.3931 0.6806 0.5705
As3 As 0.5871 0.2989 0.4378
As4 As 0.8315 0.6247 0.3171
H1 H 0.4860 0.0458 0.7088
H2 H 0.4954 0.9340 0.2944
H3 H 0.9737 0.5100 0.0173
O1 O 0.0946 0.3460 0.8994
O2 O 0.1014 0.7723 0.4922
O3 O 0.2194 0.6221 0.7459
O4 O 0.2991 0.4034 0.3796
O5 O 0.4124 0.2292 0.6153
O6 O 0.4794 0.0376 0.2429
O7 O 0.4997 0.9439 0.7624
O8 O 0.5692 0.7544 0.3915
O9 O 0.6853 0.5790 0.6255
O10 O 0.7623 0.3581 0.2589
O11 O 0.8781 0.6399 0.1101
O12 O 0.8812 0.2095 0.5119

=====

Record 2
# K2AsH2O6 | Alexandria via LeMat-Bulk | PBE | optimized geometry
# E_tot: -4.892 eV per atom
data_K2AsH2O6
_cell_length_a 9.7781
_cell_length_b 5.7834
_cell_length_c 6.7662
_cell_angle_alpha 90.00
_cell_angle_beta 125.31
_cell_angle_gamma 90.00
_symmetry_space_group_name_H-M 'C 1 2/m 1'
_symmetry_Int_Tables_number 12
loop_
_symmetry_equiv_pos_as_xyz
'x,y,z'
'-x,-y,-z'
'-x,y,-z'
'x,-y,z'
'x+1/2,y+1/2,z'
'-x+1/2,-y+1/2,-z'
'-x+1/2,y+1/2,-z'
'x+1/2,-y+1/2,z'
loop_
_atom_site_label
_atom_site_type_symbol
_atom_site_fract_x
_atom_site_fract_y
_atom_site_fract_z
K1 K 0.2357 0.0000 0.1742
As1 As 0.0000 0.0000 0.5000
H1 H 0.1996 0.5000 0.3010
O1 O 0.0357 0.1961 0.3244
O2 O 0.2317 0.0000 0.7618

=====

Record 3
# K2AsH13O10 | Alexandria via LeMat-Bulk | PBE | optimized geometry
# E_tot: -5.071 eV per atom
data_K2AsH13O10
_cell_length_a 9.2940
_cell_length_b 9.4870
_cell_length_c 12.8689
_cell_angle_alpha 90.00
_cell_angle_beta 93.88
_cell_angle_gamma 90.00
_symmetry_space_group_name_H-M 'C 1 c 1'
_symmetry_Int_Tables_number 9
loop_
_symmetry_equiv_pos_as_xyz
'x,y,z'
'x,-y,z+1/2'
'x+1/2,y+1/2,z'
'x+1/2,-y+1/2,z+1/2'
loop_
_atom_site_label
_atom_site_type_symbol
_atom_site_fract_x
_atom_site_fract_y
_atom_site_fract_z
K1 K 0.0000 0.1255 0.0000
K2 K 0.1303 0.2516 0.7183
As1 As 0.0839 0.3435 0.2564
H1 H 0.0283 0.0439 0.2777
H2 H 0.0885 0.2202 0.4699
H3 H 0.1620 0.4657 0.4667
H4 H 0.2129 0.4784 0.0823
H5 H 0.2257 0.1300 0.4893
H6 H 0.2716 0.3229 0.9595
H7 H 0.2848 0.1385 0.1728
H8 H 0.3011 0.1417 0.3424
H9 H 0.3361 0.1413 0.0585
H10 H 0.3663 0.1992 0.9092
H11 H 0.3734 0.4678 0.2652
H12 H 0.4004 0.0584 0.6493
H13 H 0.4251 0.0398 0.3907
O1 O 0.0305 0.3762 0.3799
O2 O 0.1310 0.1479 0.5178
O3 O 0.1518 0.1765 0.2479
O4 O 0.1949 0.4709 0.2139
O5 O 0.2410 0.4858 0.0086
O6 O 0.2720 0.2210 0.9382
O7 O 0.3656 0.1073 0.1300
O8 O 0.3755 0.1308 0.4011
O9 O 0.4250 0.1601 0.6703
O10 O 0.4744 0.4576 0.2951

=====

Record 4
# KScAs2H2O8 | Alexandria via LeMat-Bulk | PBE | optimized geometry
# E_tot: -6.266 eV per atom
data_KScAs2H2O8
_cell_length_a 8.6707
_cell_length_b 10.6721
_cell_length_c 9.2992
_cell_angle_alpha 90.00
_cell_angle_beta 109.74
_cell_angle_gamma 90.00
_symmetry_space_group_name_H-M 'C 1 2/c 1'
_symmetry_Int_Tables_number 15
loop_
_symmetry_equiv_pos_as_xyz
'x,y,z'
'-x,-y,-z'
'-x,y,-z+1/2'
'x,-y,z+1/2'
'x+1/2,y+1/2,z'
'-x+1/2,-y+1/2,-z'
'-x+1/2,y+1/2,-z+1/2'
'x+1/2,-y+1/2,z+1/2'
loop_
_atom_site_label
_atom_site_type_symbol
_atom_site_fract_x
_atom_site_fract_y
_atom_site_fract_z
K1 K 0.2500 0.2500 0.0000
Sc1 Sc 0.0000 0.1449 0.2500
As1 As 0.2220 0.0947 0.6380
H1 H 0.1962 0.4888 0.5515
O1 O 0.0528 0.1394 0.4896
O2 O 0.1476 0.4917 0.4359
O3 O 0.1792 0.9999 0.2686
O4 O 0.1797 0.2778 0.2632

=====

Record 5
# KSrAsH16O12 | Alexandria via LeMat-Bulk | PBE | optimized geometry
# E_tot: -5.185 eV per atom
data_KSrAsH16O12
_cell_length_a 7.1912
_cell_length_b 7.1912
_cell_length_c 23.8340
_cell_angle_alpha 90.00
_cell_angle_beta 90.00
_cell_angle_gamma 90.00
_symmetry_space_group_name_H-M 'I 41 m d'
_symmetry_Int_Tables_number 109
_symmetry_space_group_name_Hall 'I 4bw -2'
loop_
_atom_site_label
_atom_site_type_symbol
_atom_site_fract_x
_atom_site_fract_y
_atom_site_fract_z
K1 K 0.0000 0.0000 0.0000
Sr1 Sr 0.0000 0.0000 0.8399
As1 As 0.0000 0.0000 0.4162
H1 H 0.1096 0.1451 0.1754
H2 H 0.1101 0.3596 0.9020
H3 H 0.1683 0.2707 0.5733
H4 H 0.1735 0.2068 0.5107
O1 O 0.0000 0.2004 0.4563
O2 O 0.0000 0.2168 0.1626
O3 O 0.0000 0.2814 0.9107
O4 O 0.0000 0.2999 0.6258
O5 O 0.2312 0.2434 0.7933

=====

Record 6
# KAsH2Pb | Alexandria via LeMat-Bulk | PBE | optimized geometry
# E_tot: -2.936 eV per atom
data_KAsH2Pb
_cell_length_a 4.4830
_cell_length_b 4.4830
_cell_length_c 5.6127
_cell_angle_alpha 90.00
_cell_angle_beta 90.00
_cell_angle_gamma 90.00
_symmetry_space_group_name_H-M 'P 4/m m m'
_symmetry_Int_Tables_number 123
_symmetry_space_group_name_Hall '-P 4 2'
loop_
_atom_site_label
_atom_site_type_symbol
_atom_site_fract_x
_atom_site_fract_y
_atom_site_fract_z
K1 K 0.0000 0.0000 0.0000
As1 As 0.5000 0.5000 0.0000
H1 H 0.0000 0.5000 0.5000
Pb1 Pb 0.5000 0.5000 0.5000

=====

Record 7
# K2As2HPd2 | Alexandria via LeMat-Bulk | PBE | optimized geometry
# E_tot: -3.954 eV per atom
data_K2As2HPd2
_cell_length_a 11.1700
_cell_length_b 4.4174
_cell_length_c 7.8589
_cell_angle_alpha 90.00
_cell_angle_beta 132.46
_cell_angle_gamma 90.00
_symmetry_space_group_name_H-M 'C 1 2/m 1'
_symmetry_Int_Tables_number 12
loop_
_symmetry_equiv_pos_as_xyz
'x,y,z'
'-x,-y,-z'
'-x,y,-z'
'x,-y,z'
'x+1/2,y+1/2,z'
'-x+1/2,-y+1/2,-z'
'-x+1/2,y+1/2,-z'
'x+1/2,-y+1/2,z'
loop_
_atom_site_label
_atom_site_type_symbol
_atom_site_fract_x
_atom_site_fract_y
_atom_site_fract_z
K1 K 0.0803 0.0000 0.3566
As1 As 0.1466 0.5000 0.0848
H1 H 0.0000 0.5000 0.5000
Pd1 Pd 0.2037 0.5000 0.8239

=====

Record 8
# K2RbAsH | Alexandria via LeMat-Bulk | PBE | optimized geometry
# E_tot: -2.402 eV per atom
data_K2RbAsH
_cell_length_a 5.3157
_cell_length_b 5.3157
_cell_length_c 5.5660
_cell_angle_alpha 90.00
_cell_angle_beta 90.00
_cell_angle_gamma 90.00
_symmetry_space_group_name_H-M 'P 4/m m m'
_symmetry_Int_Tables_number 123
_symmetry_space_group_name_Hall '-P 4 2'
loop_
_atom_site_label
_atom_site_type_symbol
_atom_site_fract_x
_atom_site_fract_y
_atom_site_fract_z
K1 K 0.0000 0.5000 0.0000
Rb1 Rb 0.0000 0.0000 0.5000
As1 As 0.5000 0.5000 0.5000
H1 H 0.0000 0.0000 0.0000

=====

Record 9
# KAsH2Rh2 | Alexandria via LeMat-Bulk | PBE | optimized geometry
# E_tot: -4.722 eV per atom
data_KAsH2Rh2
_cell_length_a 6.3928
_cell_length_b 5.5219
_cell_length_c 6.9706
_cell_angle_alpha 90.00
_cell_angle_beta 107.55
_cell_angle_gamma 90.00
_symmetry_space_group_name_H-M 'P 1 21/m 1'
_symmetry_Int_Tables_number 11
loop_
_symmetry_equiv_pos_as_xyz
'x,y,z'
'-x,-y,-z'
'-x,y+1/2,-z'
'x,-y+1/2,z'
loop_
_atom_site_label
_atom_site_type_symbol
_atom_site_fract_x
_atom_site_fract_y
_atom_site_fract_z
K1 K 0.2004 0.2500 0.3202
As1 As 0.3421 0.7500 0.0988
H1 H 0.1623 0.2500 0.7222
H2 H 0.2761 0.7500 0.6500
Rh1 Rh 0.3324 0.0003 0.8123

=====

Record 10
# KAsH2S4 | Alexandria via LeMat-Bulk | PBE | optimized geometry
# E_tot: -3.927 eV per atom
data_KAsH2S4
_cell_length_a 5.0966
_cell_length_b 7.9581
_cell_length_c 8.4899
_cell_angle_alpha 90.00
_cell_angle_beta 90.00
_cell_angle_gamma 90.00
_symmetry_space_group_name_H-M 'I 2 2 2'
_symmetry_Int_Tables_number 23
loop_
_symmetry_equiv_pos_as_xyz
'x,y,z'
'-x,-y,z'
'x,-y,-z'
'-x,y,-z'
'x+1/2,y+1/2,z+1/2'
'-x+1/2,-y+1/2,z+1/2'
'x+1/2,-y+1/2,-z+1/2'
'-x+1/2,y+1/2,-z+1/2'
loop_
_atom_site_label
_atom_site_type_symbol
_atom_site_fract_x
_atom_site_fract_y
_atom_site_fract_z
K1 K 0.0000 0.0000 0.0000
As1 As 0.0000 0.0000 0.5000
H1 H 0.0000 0.5000 0.1499
S1 S 0.2374 0.3543 0.8447

=====

Record 11
# KAsHSe2 | Alexandria via LeMat-Bulk | PBE | optimized geometry
# E_tot: -1.698 eV per atom
data_KAsHSe2
_cell_length_a 6.1153
_cell_length_b 6.1153
_cell_length_c 6.1198
_cell_angle_alpha 90.00
_cell_angle_beta 90.00
_cell_angle_gamma 90.00
_symmetry_space_group_name_H-M 'P 4/m m m'
_symmetry_Int_Tables_number 123
_symmetry_space_group_name_Hall '-P 4 2'
loop_
_atom_site_label
_atom_site_type_symbol
_atom_site_fract_x
_atom_site_fract_y
_atom_site_fract_z
K1 K 0.0000 0.0000 0.0000
As1 As 0.0000 0.0000 0.5000
H1 H 0.5000 0.5000 0.5000
Se1 Se 0.0000 0.5000 0.0000

=====

Record 12
# KAsH2Se4 | Alexandria via LeMat-Bulk | PBE | optimized geometry
# E_tot: -3.553 eV per atom
data_KAsH2Se4
_cell_length_a 5.3528
_cell_length_b 8.2636
_cell_length_c 8.7847
_cell_angle_alpha 90.00
_cell_angle_beta 90.00
_cell_angle_gamma 90.00
_symmetry_space_group_name_H-M 'I 2 2 2'
_symmetry_Int_Tables_number 23
loop_
_symmetry_equiv_pos_as_xyz
'x,y,z'
'-x,-y,z'
'x,-y,-z'
'-x,y,-z'
'x+1/2,y+1/2,z+1/2'
'-x+1/2,-y+1/2,z+1/2'
'x+1/2,-y+1/2,-z+1/2'
'-x+1/2,y+1/2,-z+1/2'
loop_
_atom_site_label
_atom_site_type_symbol
_atom_site_fract_x
_atom_site_fract_y
_atom_site_fract_z
K1 K 0.0000 0.0000 0.0000
As1 As 0.0000 0.0000 0.5000
H1 H 0.0000 0.5000 0.1584
Se1 Se 0.2348 0.3441 0.8387

=====

Record 13
# KAs2HSe | Alexandria via LeMat-Bulk | PBE | optimized geometry
# E_tot: -3.158 eV per atom
data_KAs2HSe
_cell_length_a 4.3463
_cell_length_b 4.3463
_cell_length_c 5.1314
_cell_angle_alpha 90.00
_cell_angle_beta 90.00
_cell_angle_gamma 90.00
_symmetry_space_group_name_H-M 'P 4/m m m'
_symmetry_Int_Tables_number 123
_symmetry_space_group_name_Hall '-P 4 2'
loop_
_atom_site_label
_atom_site_type_symbol
_atom_site_fract_x
_atom_site_fract_y
_atom_site_fract_z
K1 K 0.0000 0.0000 0.0000
As1 As 0.0000 0.5000 0.5000
H1 H 0.5000 0.5000 0.5000
Se1 Se 0.5000 0.5000 0.0000

=====

Record 14
# KAsHSe2 | Alexandria via LeMat-Bulk | PBE | optimized geometry
# E_tot: -3.035 eV per atom
data_KAsHSe2
_cell_length_a 5.0202
_cell_length_b 5.0202
_cell_length_c 3.9243
_cell_angle_alpha 90.00
_cell_angle_beta 90.00
_cell_angle_gamma 90.00
_symmetry_space_group_name_H-M 'P 4/m m m'
_symmetry_Int_Tables_number 123
_symmetry_space_group_name_Hall '-P 4 2'
loop_
_atom_site_label
_atom_site_type_symbol
_atom_site_fract_x
_atom_site_fract_y
_atom_site_fract_z
K1 K 0.0000 0.0000 0.0000
As1 As 0.5000 0.5000 0.0000
H1 H 0.5000 0.5000 0.5000
Se1 Se 0.0000 0.5000 0.5000

=====

Record 15
# KAs2HSe | Alexandria via LeMat-Bulk | PBE | optimized geometry
# E_tot: -1.865 eV per atom
data_KAs2HSe
_cell_length_a 7.0892
_cell_length_b 7.0892
_cell_length_c 6.2190
_cell_angle_alpha 90.00
_cell_angle_beta 90.00
_cell_angle_gamma 90.00
_symmetry_space_group_name_H-M 'P 4/m m m'
_symmetry_Int_Tables_number 123
_symmetry_space_group_name_Hall '-P 4 2'
loop_
_atom_site_label
_atom_site_type_symbol
_atom_site_fract_x
_atom_site_fract_y
_atom_site_fract_z
K1 K 0.0000 0.0000 0.0000
As1 As 0.0000 0.5000 0.0000
H1 H 0.5000 0.5000 0.5000
Se1 Se 0.0000 0.0000 0.5000

=====

Record 16
# K2SiAs2H2 | Alexandria via LeMat-Bulk | PBE | optimized geometry
# E_tot: -3.493 eV per atom
data_K2SiAs2H2
_cell_length_a 12.1193
_cell_length_b 4.4270
_cell_length_c 6.1253
_cell_angle_alpha 90.00
_cell_angle_beta 120.33
_cell_angle_gamma 90.00
_symmetry_space_group_name_H-M 'C 1 2/m 1'
_symmetry_Int_Tables_number 12
loop_
_symmetry_equiv_pos_as_xyz
'x,y,z'
'-x,-y,-z'
'-x,y,-z'
'x,-y,z'
'x+1/2,y+1/2,z'
'-x+1/2,-y+1/2,-z'
'-x+1/2,y+1/2,-z'
'x+1/2,-y+1/2,z'
loop_
_atom_site_label
_atom_site_type_symbol
_atom_site_fract_x
_atom_site_fract_y
_atom_site_fract_z
K1 K 0.1966 0.0000 0.1968
Si1 Si 0.0000 0.0000 0.5000
As1 As 0.9998 0.5000 0.2862
H1 H 0.1469 0.0000 0.6454

=====

Record 17
# K2SrAsH | Alexandria via LeMat-Bulk | PBE | optimized geometry
# E_tot: -2.823 eV per atom
data_K2SrAsH
_cell_length_a 4.9307
_cell_length_b 4.9307
_cell_length_c 5.4933
_cell_angle_alpha 90.00
_cell_angle_beta 90.00
_cell_angle_gamma 90.00
_symmetry_space_group_name_H-M 'P 4/m m m'
_symmetry_Int_Tables_number 123
_symmetry_space_group_name_Hall '-P 4 2'
loop_
_atom_site_label
_atom_site_type_symbol
_atom_site_fract_x
_atom_site_fract_y
_atom_site_fract_z
K1 K 0.0000 0.5000 0.0000
Sr1 Sr 0.0000 0.0000 0.5000
As1 As 0.5000 0.5000 0.5000
H1 H 0.0000 0.0000 0.0000

=====

Record 18
# K2TlAsH | Alexandria via LeMat-Bulk | PBE | optimized geometry
# E_tot: -2.586 eV per atom
data_K2TlAsH
_cell_length_a 4.9028
_cell_length_b 4.9028
_cell_length_c 5.2723
_cell_angle_alpha 90.00
_cell_angle_beta 90.00
_cell_angle_gamma 90.00
_symmetry_space_group_name_H-M 'P 4/m m m'
_symmetry_Int_Tables_number 123
_symmetry_space_group_name_Hall '-P 4 2'
loop_
_atom_site_label
_atom_site_type_symbol
_atom_site_fract_x
_atom_site_fract_y
_atom_site_fract_z
K1 K 0.0000 0.5000 0.0000
Tl1 Tl 0.0000 0.0000 0.5000
As1 As 0.5000 0.5000 0.5000
H1 H 0.0000 0.0000 0.0000

=====

Record 19
# KZnAsH | Alexandria via LeMat-Bulk | PBE | optimized geometry
# E_tot: -2.729 eV per atom
data_KZnAsH
_cell_length_a 4.1946
_cell_length_b 4.1946
_cell_length_c 5.7087
_cell_angle_alpha 90.00
_cell_angle_beta 90.00
_cell_angle_gamma 120.00
_symmetry_space_group_name_H-M 'P 3 m 1'
_symmetry_Int_Tables_number 156
loop_
_symmetry_equiv_pos_as_xyz
'x,y,z'
'-y,x-y,z'
'-x+y,-x,z'
'-y,-x,z'
'-x+y,y,z'
'x,x-y,z'
loop_
_atom_site_label
_atom_site_type_symbol
_atom_site_fract_x
_atom_site_fract_y
_atom_site_fract_z
K1 K 0.0000 0.0000 0.0000
Zn1 Zn 0.6667 0.3333 0.5407
As1 As 0.3333 0.6667 0.4288
H1 H 0.6667 0.3333 0.8299